1.
AgGeSe2Br | GGA-PBE | relaxed

Cell: 4.985 4.985 5.437 Å, 90.00 90.00 90.00°
Fractional positions:
Ag 0.000 0.000 0.000
Ge 0.500 0.500 0.500
Se 0.000 0.500 0.500
Se 0.500 0.000 0.500
Br 0.500 0.500 0.000

Computed properties:
The uncorrected formation energy comes out at 280 meV/atom. The magnetization is 0.0 μB/f.u. Its total DFT energy (no corrections) is -2.94 eV/atom.



2.
Li5PrAg4 | GGA-PBE | relaxed

Cell: 3.308 3.308 16.599 Å, 90.00 90.00 90.00°
Fractional positions:
Li 0.000 0.000 0.000
Li 0.000 0.000 0.181
Li 0.000 0.000 0.355
Li 0.000 0.000 0.645
Li 0.000 0.000 0.819
Pr 0.500 0.500 0.500
Ag 0.500 0.500 0.091
Ag 0.500 0.500 0.273
Ag 0.500 0.500 0.727
Ag 0.500 0.500 0.909

Computed properties:
The magnetization is 0.0 μB/f.u. Its total DFT energy (no corrections) is -2.71 eV/atom.



3.
KCa2Dy | GGA-PBE | relaxed

Cell: 3.827 3.827 11.989 Å, 90.00 90.00 90.00°
Fractional positions:
K 0.000 0.000 0.000
Ca 0.500 0.500 0.290
Ca 0.500 0.500 0.710
Dy 0.000 0.000 0.500

Computed properties:
The magnetization is 0.8 μB/f.u. Its total DFT energy (no corrections) is -2.26 eV/atom.



4.
Ba3PaO5 | GGA-PBE | relaxed

Cell: 8.475 8.475 8.475 Å, 126.56 126.56 78.97°
Fractional positions:
Ba 0.187 0.687 0.875
Ba 0.250 0.250 0.000
Ba 0.313 0.187 0.500
Ba 0.687 0.813 0.500
Ba 0.750 0.750 0.000
Ba 0.813 0.313 0.125
Pa 0.250 0.750 0.500
Pa 0.750 0.250 0.500
O 0.000 0.000 0.000
O 0.001 0.202 0.500
O 0.202 0.702 0.201
O 0.298 0.499 0.500
O 0.499 0.999 0.201
O 0.500 0.500 0.000
O 0.501 0.001 0.799
O 0.702 0.501 0.500
O 0.798 0.298 0.799
O 0.999 0.798 0.500

Computed properties:
The uncorrected formation energy comes out at -2688 meV/atom. The magnetization is 0.9 μB/f.u. Its total DFT energy (no corrections) is -7.14 eV/atom.



5.
TbNd2Lu | GGA-PBE | relaxed

Cell: 12.639 12.639 12.639 Å, 15.96 15.96 15.96°
Fractional positions:
Tb 0.000 0.000 0.000
Nd 0.089 0.089 0.089
Nd 0.911 0.911 0.911
Lu 0.500 0.500 0.500

Computed properties:
The magnetization is 0.0 μB/f.u. Its total DFT energy (no corrections) is -4.49 eV/atom.



6.
PrTmCoPt | GGA-PBE | relaxed

Cell: 4.926 4.926 4.926 Å, 60.00 60.00 60.00°
Fractional positions:
Pr 0.000 0.000 0.000
Tm 0.500 0.500 0.500
Co 0.750 0.750 0.750
Pt 0.250 0.250 0.250

Computed properties:
The magnetization is 0.5 μB/f.u. Its total DFT energy (no corrections) is -6.15 eV/atom.